Record 1
The following is a PBE calculation of a geometry-optimized KPdSeBr2 structure, from Alexandria.

Lattice parameters (Å, degrees): 6.0215 6.0215 6.0371 90.00 90.00 90.00
With the nearest neighbours (Å) after each atom.
Sites, in units of the cell vectors:
K: 0.0000 0.0000 0.0000  4 Br 3.01, 2 Se 3.02
Br: 0.5000 0.0000 0.0000  2 K 3.01
Br: 0.0000 0.5000 0.0000  2 K 3.01
Se: 0.0000 0.0000 0.5000  2 K 3.02
Pd: 0.5000 0.5000 0.5000  4 Se 4.26, 8 Br 4.26

Results
- Formation energy without anion corrections: 2.72 eV per formula unit
- Energy relative to the lowest polymorph listed for this composition: 1158 meV per atom



Record 2
The following is a PBE calculation of a geometry-optimized KPdSe2Br structure, from Alexandria.

Lattice parameters (Å, degrees): 4.9983 4.9983 5.5564 90.00 90.00 90.00
With the nearest neighbours (Å) after each atom.
Sites, in units of the cell vectors:
Pd: 0.0000 0.0000 0.0000  4 Se 2.50, 2 Br 2.78
K: 0.5000 0.5000 0.5000  4 Br 3.53, 8 Se 3.74
Se: 0.5000 0.0000 0.0000  2 Pd 2.50
Se: 0.0000 0.5000 0.0000  2 Pd 2.50
Br: 0.0000 0.0000 0.5000  2 Pd 2.78

Results
- Formation energy without anion corrections: -1.95 eV per formula unit
- Energy relative to the lowest polymorph listed for this composition: 0 meV per atom